Record 1
The following is a meta-GGA SCAN calculation of Sr2ScCl at its PBEsol-relaxed geometry, from the Alexandria database.

The structure in POSCAR format:
```
Sr2ScCl
1.0
-0.878 3.022 -1.966
1.782 -1.489 -3.084
-8.422 -4.212 -2.713
Sc Sr Cl
1 2 1
Direct
0.500 0.500 0.000
0.000 0.994 0.738
0.000 0.006 0.262
0.500 0.000 0.500
```

N(E_F)   3.83 states/eV per cell
ΔE_f (raw)   -727 meV/atom
Final energy   -1.2802 Ry/atom
SG   P2/m (10)
V   35.09 Å³/atom

=====

Record 2
The following is a meta-GGA SCAN calculation of ScTaCl3 at its PBEsol-relaxed geometry, from the Alexandria database.

The structure in POSCAR format:
```
ScTaCl3
1.0
-2.832 2.768 -2.689
-1.081 -3.771 -2.742
-3.704 -1.015 2.856
Sc Cl Ta
1 3 1
Direct
0.500 0.500 0.500
0.000 0.500 0.000
0.000 0.000 0.500
0.500 0.000 0.000
0.000 0.000 0.000
```

N(E_F)   4.03 states/eV per cell
ΔE_f (raw)   -185 meV/atom
Final energy   -1.5535 Ry/atom
SG   Pm-3m (221)
V   21.93 Å³/atom

=====

Record 3
The following is a meta-GGA SCAN calculation of ScTcCl at its PBEsol-relaxed geometry, from the Alexandria database.

The structure in POSCAR format:
```
ScTcCl
1.0
4.112 0.000 0.000
2.056 3.561 0.000
2.056 1.187 3.358
Sc Tc Cl
1 1 1
Direct
0.000 0.000 0.000
0.500 0.500 0.500
0.750 0.750 0.750
```

N(E_F)   2.93 states/eV per cell
ΔE_f (raw)   415 meV/atom
Final energy   -1.3727 Ry/atom
SG   F-43m (216)
V   16.39 Å³/atom